[1]
Compound: SmErAl
Source: the Open Quantum Materials Database
Functional: GGA-PBE
Structure: relaxed

abc: 5.0629 5.0629 5.0629
angles: 60.00 60.00 60.00
Last column: nearest neighbours and their distance in Å.
Atoms (fractional coordinates):
Sm  0.0000  0.0000  0.0000  4 Er 3.10
Er  0.7500  0.7500  0.7500  4 Al 3.10, 4 Sm 3.10
Al  0.5000  0.5000  0.5000  4 Er 3.10

Energy above the most stable polymorph in this dataset = 0.000 eV/atom

=====

[2]
Compound: NaZr3Bi5
Source: the Open Quantum Materials Database
Functional: GGA-PBE
Structure: relaxed

abc: 6.0832 6.0832 9.0714
angles: 90.00 90.00 120.00
Last column: nearest neighbours and their distance in Å.
Atoms (fractional coordinates):
Na  0.0000  0.0000  0.0000  12 Bi 4.00
Zr  0.0000  0.5000  0.5000  4 Zr 3.04, 6 Bi 3.04-3.15
Zr  0.5000  0.0000  0.5000  4 Zr 3.04, 6 Bi 3.04-3.15
Zr  0.5000  0.5000  0.5000  4 Zr 3.04, 6 Bi 3.04-3.15
Bi  0.0000  0.0000  0.5000  6 Zr 3.04
Bi  0.3333  0.6667  0.2115  3 Zr 3.15, 3 Bi 3.51
Bi  0.3333  0.6667  0.7885  3 Zr 3.15, 3 Bi 3.51
Bi  0.6667  0.3333  0.2115  3 Zr 3.15, 3 Bi 3.51
Bi  0.6667  0.3333  0.7885  3 Zr 3.15, 3 Bi 3.51

VASP energy = -49.19 eV per cell

=====

In the order shown, the computed total moment values come out to 0.9, 0.0 μB per formula unit.